1.
# PaGa12Ni4

A relaxed PaGa12Ni4 crystal (PBE, the Alexandria database).

Output
The crystal system is cubic. As for the total energy: -4.1549 eV/atom.

a = 7.3459 Å, b = 7.3459 Å, c = 7.3459 Å
α = 109.47°, β = 109.47°, γ = 109.47°
Each line ends with the local moment (μB).
Fractional coordinates of all 17 atoms:
Ga 0.3380 0.1745 0.8365  0.00
Ga 0.5015 0.1635 0.3380  0.00
Ga 0.8365 0.6620 0.4985  0.00
Ga 0.6620 0.4985 0.8365  0.00
Ga 0.8365 0.3380 0.1745  0.00
Ga 0.8255 0.1635 0.6620  0.00
Ga 0.1635 0.3380 0.5015  0.00
Ga 0.1745 0.8365 0.3380  0.00
Ga 0.1635 0.6620 0.8255  0.00
Ga 0.3380 0.5015 0.1635  0.00
Ga 0.6620 0.8255 0.1635  0.00
Ga 0.4985 0.8365 0.6620  0.00
Pa 0.0000 0.0000 0.0000  0.24
Ni 0.5000 0.5000 0.5000  0.00
Ni 0.0000 0.5000 0.0000  0.00
Ni 0.5000 0.0000 0.0000  0.00
Ni 0.0000 0.0000 0.5000  0.00

2.
# PaGa2Ni

A relaxed PaGa2Ni crystal (PBE, the Alexandria database).

Output
The crystal system is tetragonal. As for the total energy: -5.6282 eV/atom.

a = 3.0538 Å, b = 3.0538 Å, c = 7.1937 Å
α = 90.00°, β = 90.00°, γ = 90.00°
Each line ends with the local moment (μB).
Fractional coordinates of all 4 atoms:
Ga 0.0000 0.0000 0.8081  0.00
Ga 0.0000 0.0000 0.1919  0.00
Pa 0.5000 0.5000 0.5000  0.46
Ni 0.5000 0.5000 0.0000  0.02

3.
# Pa3Ga3Ni8

A relaxed Pa3Ga3Ni8 crystal (PBE, the Alexandria database).

Output
The crystal system is orthorhombic. As for the total energy: -6.3870 eV/atom.

a = 4.1626 Å, b = 7.6745 Å, c = 7.6745 Å
α = 67.79°, β = 74.26°, γ = 74.26°
Fractional coordinates of all 14 atoms:
Ni 0.6142 0.6591 0.1126
Ni 0.3858 0.3409 0.8874
Ni 0.8144 0.5350 0.8363
Ni 0.6142 0.1126 0.6591
Ni 0.3858 0.8874 0.3409
Ni 0.8144 0.8363 0.5350
Ni 0.1856 0.4650 0.1637
Ni 0.1856 0.1637 0.4650
Ga 0.5000 0.0000 0.0000
Ga 0.0000 0.7726 0.2274
Ga 0.0000 0.2274 0.7726
Pa 0.2079 0.7921 0.7921
Pa 0.7921 0.2079 0.2079
Pa 0.5000 0.5000 0.5000

4.
# Pa3GaNi5

A relaxed Pa3GaNi5 crystal (PBE, the Alexandria database).

Output
The crystal system is hexagonal. As for the total energy: -7.0397 eV/atom.

a = 5.4946 Å, b = 8.0425 Å, c = 8.0425 Å
α = 120.00°, β = 90.00°, γ = 90.00°
Fractional coordinates of all 18 atoms:
Pa 0.2500 0.0000 0.6459
Pa 0.7500 0.0000 0.3541
Pa 0.2500 0.3541 0.3541
Pa 0.7500 0.6459 0.6459
Pa 0.2500 0.6459 0.0000
Pa 0.7500 0.3541 0.0000
Ni 0.5000 0.6667 0.3333
Ni 0.2500 0.3099 0.0000
Ni 0.7500 0.6901 0.0000
Ni 0.2500 0.6901 0.6901
Ni 0.2500 0.0000 0.3099
Ni 0.5000 0.3333 0.6667
Ni 0.0000 0.6667 0.3333
Ni 0.7500 0.3099 0.3099
Ni 0.0000 0.3333 0.6667
Ni 0.7500 0.0000 0.6901
Ga 0.5000 0.0000 0.0000
Ga 0.0000 0.0000 0.0000

5.
# Pa2GaNi9

A relaxed Pa2GaNi9 crystal (PBE, the Alexandria database).

Output
The crystal system is tetragonal. For the relative energy among the computed polymorphs, the calculation gives 0.000 eV per atom. As for the total energy: -6.5217 eV/atom.

a = 3.8477 Å, b = 3.8477 Å, c = 10.9328 Å
α = 90.00°, β = 90.00°, γ = 90.00°
Fractional coordinates of all 12 atoms:
Ni 0.5000 0.5000 0.0000
Ni 0.0000 0.5000 0.1533
Ni 0.5000 0.0000 0.5000
Ni 0.5000 0.5000 0.6707
Ni 0.5000 0.0000 0.1533
Ni 0.5000 0.5000 0.3293
Ni 0.0000 0.5000 0.5000
Ni 0.5000 0.0000 0.8467
Ni 0.0000 0.5000 0.8467
Pa 0.0000 0.0000 0.6820
Pa 0.0000 0.0000 0.3180
Ga 0.0000 0.0000 0.0000

6.
# Pa6GaNi6

A relaxed Pa6GaNi6 crystal (PBE, the Alexandria database).

Output
The crystal system is orthorhombic. As for the total energy: -7.5305 eV/atom.

a = 5.2333 Å, b = 7.2687 Å, c = 7.2687 Å
α = 86.75°, β = 68.90°, γ = 68.90°
Fractional coordinates of all 13 atoms:
Ni 0.5000 0.2483 0.7517
Ni 0.0000 0.0000 0.5000
Ni 0.0000 0.5000 0.0000
Ni 0.5000 0.7517 0.2483
Ni 0.5000 0.0000 0.5000
Ni 0.5000 0.5000 0.0000
Pa 0.0000 0.3235 0.6765
Pa 0.6705 0.8295 0.8295
Pa 0.6691 0.3309 0.3309
Pa 0.0000 0.6765 0.3235
Pa 0.3309 0.6691 0.6691
Pa 0.3295 0.1705 0.1705
Ga 0.0000 0.0000 0.0000